No. 1
CsCdAs | PBE | optimized geometry

Values from the calculation:
- energy of formation from the pure elements (eV per atom) = -0.40

Unit cell a=4.6524 b=20.4099 c=4.6815 alpha=90.00 beta=90.00 gamma=90.00
Space group Cmcm (No. 63)
Inequivalent atoms, fractional coordinates:
Cs  0.0000  0.0968  0.2500 [4 per cell]
Cd  0.0000  0.2502  0.7500 [4 per cell]
As  0.0000  0.3295  0.2500 [4 per cell]



No. 2
CsCdAs | PBE | optimized geometry

Values from the calculation:
- energy of formation from the pure elements (eV per atom) = -0.28

Unit cell a=4.7344 b=6.5883 c=7.3628 alpha=103.45 beta=104.81 gamma=100.65
Space group P-1 (No. 2)
Inequivalent atoms, fractional coordinates:
Cs  0.2172  0.2141  0.3815 [2 per cell]
Cd  0.4861  0.7882  0.0358 [2 per cell]
As  0.0232  0.3903  0.8395 [2 per cell]



No. 3
Cs2Cd2As | PBE | optimized geometry

Values from the calculation:
- distance to the lowest polymorph of the same formula (kJ/mol of formula units) = 1
- energy of formation from the pure elements (eV per atom) = -0.07

Unit cell a=7.7793 b=7.7793 c=6.0546 alpha=90.00 beta=90.00 gamma=90.00
Space group P4/mbm (No. 127)
Inequivalent atoms, fractional coordinates:
Cs  0.1869  0.3131  0.0000 [4 per cell]
Cd  0.1349  0.6349  0.5000 [4 per cell]
As  0.0000  0.0000  0.5000 [2 per cell]



No. 4
Cs2CdCuAs2 | PBE | optimized geometry

Values from the calculation:
- energy of formation from the pure elements (eV per atom) = -0.26

Unit cell a=6.3137 b=19.0140 c=6.3849 alpha=90.00 beta=90.00 gamma=90.00
Space group Ibam (No. 72)
Inequivalent atoms, fractional coordinates:
Cs  0.2401  0.1636  0.0000 [8 per cell]
Cd  0.0000  0.0000  0.2500 [4 per cell]
Cu  0.0000  0.5000  0.2500 [4 per cell]
As  0.2180  0.4238  0.0000 [8 per cell]



No. 5
Cs2CdCuAs | PBE | optimized geometry

Values from the calculation:
- distance to the lowest polymorph of the same formula (kJ/mol of formula units) = 0
- energy of formation from the pure elements (eV per atom) = -0.08

Unit cell a=6.8945 b=6.8945 c=4.4813 alpha=90.00 beta=90.00 gamma=90.00
Space group P4/mmm (No. 123)
Inequivalent atoms, fractional coordinates:
Cs  0.0000  0.5000  0.0000 [2 per cell]
Cd  0.0000  0.0000  0.5000 [1 per cell]
Cu  0.5000  0.5000  0.0000 [1 per cell]
As  0.5000  0.5000  0.5000 [1 per cell]



No. 6
Cs2CdAsF6 | PBE | optimized geometry

Values from the calculation:
- ΔE_f (raw) (meV per atom) = -2240

Unit cell a=6.2214 b=6.2214 c=10.8008 alpha=90.00 beta=90.00 gamma=90.00
Space group I4/mmm (No. 139)
Inequivalent atoms, fractional coordinates:
Cs  0.0000  0.5000  0.2500 [4 per cell]
Cd  0.0000  0.0000  0.0000 [2 per cell]
As  0.0000  0.0000  0.5000 [2 per cell]
F  0.0000  0.0000  0.1992 [4 per cell]
F  0.2339  0.2339  0.5000 [8 per cell]



No. 7
Cs2CdGaAs | PBE | optimized geometry

Values from the calculation:
- energy of formation from the pure elements (eV per atom) = -0.05

Unit cell a=7.1970 b=7.1970 c=5.0527 alpha=90.00 beta=90.00 gamma=90.00
Space group P4/mmm (No. 123)
Inequivalent atoms, fractional coordinates:
Cs  0.0000  0.5000  0.0000 [2 per cell]
Cd  0.0000  0.0000  0.5000 [1 per cell]
Ga  0.5000  0.5000  0.5000 [1 per cell]
As  0.5000  0.5000  0.0000 [1 per cell]



No. 8
Cs4CdHg2As2 | PBE | optimized geometry

Values from the calculation:
- energy of formation from the pure elements (eV per atom) = -0.31

Unit cell a=14.0230 b=10.0439 c=5.8363 alpha=90.00 beta=96.49 gamma=90.00
Space group C2/m (No. 12)
Inequivalent atoms, fractional coordinates:
Cs  0.1339  0.2491  0.1803 [8 per cell]
Cd  0.0000  0.0000  0.5000 [2 per cell]
Hg  0.1652  0.5000  0.6681 [4 per cell]
As  0.1738  0.0000  0.6809 [4 per cell]



Number 1: total magnetic moment 0.00 μB per cell. Number 2: total magnetic moment 0.00 μB per cell. Number 3: total magnetic moment 0.00 μB per cell. Number 4: total magnetic moment 0.00 μB per cell. Number 5: total magnetic moment 0.00 μB per cell. Number 6: total magnetic moment 2.00 μB per cell. Number 7: total magnetic moment 0.00 μB per cell. Number 8: total magnetic moment 0.00 μB per cell.